1.
The following is a GGA-PBEsol calculation of a geometry-optimized YAlHg2 structure, from Alexandria.

Results
**E_form**: -1.4 eV per formula unit

The structure in CIF format:
```
data_YAlHg2
_chemical_formula_sum 'Y1 Al1 Hg2'
_cell_length_a 3.331
_cell_length_b 4.681
_cell_length_c 5.682
_cell_angle_alpha 90.00
_cell_angle_beta 90.00
_cell_angle_gamma 90.00
_symmetry_space_group_name_H-M 'P 1'
_symmetry_Int_Tables_number 1
loop_
_symmetry_equiv_pos_as_xyz
'x,y,z'
loop_
_atom_site_label
_atom_site_fract_x
_atom_site_fract_y
_atom_site_fract_z
Y1 0.000 0.000 0.000
Al1 0.500 0.500 0.746
Hg1 0.500 0.000 0.518
Hg2 0.500 0.500 0.228
```


2.
The following is a GGA-PBEsol calculation of a geometry-optimized RuWIO2 structure, from Alexandria.

Results
**Energy above the most stable polymorph in this dataset**: 0.00 kcal/mol of atoms
**Energy relative to the elements, uncorrected**: -0.264 eV/atom

The structure in CIF format:
```
data_RuWIO2
_chemical_formula_sum 'Ru1 W1 I1 O2'
_cell_length_a 3.795
_cell_length_b 3.795
_cell_length_c 5.874
_cell_angle_alpha 90.00
_cell_angle_beta 90.00
_cell_angle_gamma 90.00
_symmetry_space_group_name_H-M 'P 1'
_symmetry_Int_Tables_number 1
loop_
_symmetry_equiv_pos_as_xyz
'x,y,z'
loop_
_atom_site_label
_atom_site_fract_x
_atom_site_fract_y
_atom_site_fract_z
Ru1 0.000 0.000 0.000
W1 0.500 0.500 0.500
I1 0.500 0.500 0.000
O1 0.000 0.500 0.500
O2 0.500 0.000 0.500
```


3.
The following is a GGA-PBEsol calculation of a geometry-optimized AlMoS2N structure, from Alexandria.

Results
**Energy relative to the elements, uncorrected**: 0.452 eV/atom

The structure in CIF format:
```
data_AlMoS2N
_chemical_formula_sum 'Al1 Mo1 S2 N1'
_cell_length_a 4.597
_cell_length_b 4.597
_cell_length_c 3.579
_cell_angle_alpha 90.00
_cell_angle_beta 90.00
_cell_angle_gamma 90.00
_symmetry_space_group_name_H-M 'P 1'
_symmetry_Int_Tables_number 1
loop_
_symmetry_equiv_pos_as_xyz
'x,y,z'
loop_
_atom_site_label
_atom_site_fract_x
_atom_site_fract_y
_atom_site_fract_z
Al1 0.000 0.000 0.000
Mo1 0.500 0.500 0.500
S1 0.000 0.500 0.000
S2 0.500 0.000 0.000
N1 0.000 0.000 0.500
```


4.
The following is a GGA-PBEsol calculation of a geometry-optimized TaTl2Cl structure, from Alexandria.

Results
**Energy above the most stable polymorph in this dataset**: 18.29 kcal/mol of atoms
**Energy relative to the elements, uncorrected**: 0.795 eV/atom

The structure in CIF format:
```
data_TaTl2Cl
_chemical_formula_sum 'Ta1 Tl2 Cl1'
_cell_length_a 5.062
_cell_length_b 5.062
_cell_length_c 5.062
_cell_angle_alpha 60.00
_cell_angle_beta 60.00
_cell_angle_gamma 60.00
_symmetry_space_group_name_H-M 'P 1'
_symmetry_Int_Tables_number 1
loop_
_symmetry_equiv_pos_as_xyz
'x,y,z'
loop_
_atom_site_label
_atom_site_fract_x
_atom_site_fract_y
_atom_site_fract_z
Ta1 0.000 0.000 0.000
Tl1 0.250 0.250 0.250
Tl2 0.750 0.750 0.750
Cl1 0.500 0.500 0.500
```


5.
The following is a GGA-PBEsol calculation of a geometry-optimized Sc2PRu structure, from Alexandria.

Results
**E_form**: -2.0 eV per formula unit

The structure in CIF format:
```
data_Sc2PRu
_chemical_formula_sum 'Sc2 P1 Ru1'
_cell_length_a 4.396
_cell_length_b 4.396
_cell_length_c 4.396
_cell_angle_alpha 60.00
_cell_angle_beta 60.00
_cell_angle_gamma 60.00
_symmetry_space_group_name_H-M 'P 1'
_symmetry_Int_Tables_number 1
loop_
_symmetry_equiv_pos_as_xyz
'x,y,z'
loop_
_atom_site_label
_atom_site_fract_x
_atom_site_fract_y
_atom_site_fract_z
Sc1 0.000 0.000 0.000
Sc2 0.250 0.250 0.250
P1 0.500 0.500 0.500
Ru1 0.750 0.750 0.750
```


6.
The following is a GGA-PBEsol calculation of a geometry-optimized Co4MoW structure, from Alexandria.

Results
**E_form**: -0.1 eV per formula unit

The structure in CIF format:
```
data_Co4MoW
_chemical_formula_sum 'Co4 Mo1 W1'
_cell_length_a 4.612
_cell_length_b 4.612
_cell_length_c 4.612
_cell_angle_alpha 60.00
_cell_angle_beta 60.00
_cell_angle_gamma 60.00
_symmetry_space_group_name_H-M 'P 1'
_symmetry_Int_Tables_number 1
loop_
_symmetry_equiv_pos_as_xyz
'x,y,z'
loop_
_atom_site_label
_atom_site_fract_x
_atom_site_fract_y
_atom_site_fract_z
Co1 0.125 0.125 0.125
Co2 0.125 0.125 0.625
Co3 0.125 0.625 0.125
Co4 0.625 0.125 0.125
Mo1 0.750 0.750 0.750
W1 0.500 0.500 0.500
```


7.
The following is a GGA-PBEsol calculation of a geometry-optimized Sm2Ni7 structure, from Alexandria.

Results
**E_form**: -3.1 eV per formula unit

The structure in CIF format:
```
data_Sm2Ni7
_chemical_formula_sum 'Sm8 Ni28'
_cell_length_a 4.894
_cell_length_b 4.894
_cell_length_c 23.935
_cell_angle_alpha 90.00
_cell_angle_beta 90.00
_cell_angle_gamma 120.00
_symmetry_space_group_name_H-M 'P 1'
_symmetry_Int_Tables_number 1
loop_
_symmetry_equiv_pos_as_xyz
'x,y,z'
loop_
_atom_site_label
_atom_site_fract_x
_atom_site_fract_y
_atom_site_fract_z
Sm1 0.333 0.667 0.029
Sm2 0.333 0.667 0.174
Sm3 0.333 0.667 0.326
Sm4 0.333 0.667 0.471
Sm5 0.667 0.333 0.529
Sm6 0.667 0.333 0.674
Sm7 0.667 0.333 0.826
Sm8 0.667 0.333 0.971
Ni1 0.000 0.000 0.000
Ni2 0.000 0.000 0.168
Ni3 0.000 0.000 0.332
Ni4 0.000 0.000 0.500
Ni5 0.000 0.000 0.668
Ni6 0.000 0.000 0.832
Ni7 0.167 0.333 0.587
Ni8 0.167 0.333 0.913
Ni9 0.167 0.334 0.750
Ni10 0.167 0.833 0.587
Ni11 0.167 0.833 0.750
Ni12 0.167 0.833 0.913
Ni13 0.333 0.167 0.087
Ni14 0.333 0.167 0.413
Ni15 0.333 0.667 0.668
Ni16 0.333 0.667 0.832
Ni17 0.334 0.167 0.250
Ni18 0.666 0.833 0.750
Ni19 0.667 0.333 0.168
Ni20 0.667 0.333 0.332
Ni21 0.667 0.833 0.587
Ni22 0.667 0.833 0.913
Ni23 0.833 0.167 0.087
Ni24 0.833 0.167 0.250
Ni25 0.833 0.167 0.413
Ni26 0.833 0.666 0.250
Ni27 0.833 0.667 0.087
Ni28 0.833 0.667 0.413
```


8.
The following is a GGA-PBEsol calculation of a geometry-optimized CuIr2S4 structure, from Alexandria.

Results
**Energy relative to the elements, uncorrected**: -0.418 eV/atom

The structure in CIF format:
```
data_CuIr2S4
_chemical_formula_sum 'Cu2 Ir4 S8'
_cell_length_a 6.921
_cell_length_b 6.921
_cell_length_c 6.921
_cell_angle_alpha 60.00
_cell_angle_beta 60.00
_cell_angle_gamma 60.00
_symmetry_space_group_name_H-M 'P 1'
_symmetry_Int_Tables_number 1
loop_
_symmetry_equiv_pos_as_xyz
'x,y,z'
loop_
_atom_site_label
_atom_site_fract_x
_atom_site_fract_y
_atom_site_fract_z
Cu1 0.125 0.125 0.125
Cu2 0.875 0.875 0.875
Ir1 0.000 0.500 0.500
Ir2 0.500 0.000 0.500
Ir3 0.500 0.500 0.000
Ir4 0.500 0.500 0.500
S1 0.260 0.260 0.260
S2 0.260 0.260 0.721
S3 0.260 0.721 0.260
S4 0.279 0.740 0.740
S5 0.721 0.260 0.260
S6 0.740 0.279 0.740
S7 0.740 0.740 0.279
S8 0.740 0.740 0.740
```


9.
The following is a GGA-PBEsol calculation of a geometry-optimized MgTc structure, from Alexandria.

Results
**Energy above the most stable polymorph in this dataset**: 5.79 kcal/mol of atoms
**E_form**: 0.5 eV per formula unit

The structure in CIF format:
```
data_MgTc
_chemical_formula_sum 'Mg2 Tc2'
_cell_length_a 5.228
_cell_length_b 5.228
_cell_length_c 5.228
_cell_angle_alpha 144.73
_cell_angle_beta 127.15
_cell_angle_gamma 65.15
_symmetry_space_group_name_H-M 'P 1'
_symmetry_Int_Tables_number 1
loop_
_symmetry_equiv_pos_as_xyz
'x,y,z'
loop_
_atom_site_label
_atom_site_fract_x
_atom_site_fract_y
_atom_site_fract_z
Mg1 0.363 0.113 0.250
Mg2 0.637 0.887 0.750
Tc1 0.101 0.351 0.750
Tc2 0.899 0.649 0.250
```


10.
The following is a GGA-PBEsol calculation of a geometry-optimized TlHg2Mo structure, from Alexandria.

Results
**Energy above the most stable polymorph in this dataset**: 0.00 kcal/mol of atoms
**E_form**: 1.8 eV per formula unit

The structure in CIF format:
```
data_TlHg2Mo
_chemical_formula_sum 'Tl1 Hg2 Mo1'
_cell_length_a 2.964
_cell_length_b 2.964
_cell_length_c 9.479
_cell_angle_alpha 90.00
_cell_angle_beta 90.00
_cell_angle_gamma 90.00
_symmetry_space_group_name_H-M 'P 1'
_symmetry_Int_Tables_number 1
loop_
_symmetry_equiv_pos_as_xyz
'x,y,z'
loop_
_atom_site_label
_atom_site_fract_x
_atom_site_fract_y
_atom_site_fract_z
Tl1 0.000 0.000 0.000
Hg1 0.500 0.500 0.287
Hg2 0.500 0.500 0.713
Mo1 0.000 0.000 0.500
```


11.
The following is a GGA-PBEsol calculation of a geometry-optimized CaTa2Al structure, from Alexandria.

Results
**E_form**: 1.8 eV per formula unit

The structure in CIF format:
```
data_CaTa2Al
_chemical_formula_sum 'Ca1 Ta2 Al1'
_cell_length_a 3.242
_cell_length_b 4.736
_cell_length_c 5.042
_cell_angle_alpha 90.00
_cell_angle_beta 90.00
_cell_angle_gamma 90.00
_symmetry_space_group_name_H-M 'P 1'
_symmetry_Int_Tables_number 1
loop_
_symmetry_equiv_pos_as_xyz
'x,y,z'
loop_
_atom_site_label
_atom_site_fract_x
_atom_site_fract_y
_atom_site_fract_z
Ca1 0.000 0.000 0.000
Ta1 0.000 0.500 0.500
Ta2 0.500 0.000 0.500
Al1 0.500 0.500 0.000
```


12.
The following is a GGA-PBEsol calculation of a geometry-optimized CaTcHg2Ru structure, from Alexandria.

Results
**E_form**: 9.9 eV per formula unit

The structure in CIF format:
```
data_CaTcHg2Ru
_chemical_formula_sum 'Ca1 Tc1 Hg2 Ru1'
_cell_length_a 5.194
_cell_length_b 5.194
_cell_length_c 4.456
_cell_angle_alpha 90.00
_cell_angle_beta 90.00
_cell_angle_gamma 90.00
_symmetry_space_group_name_H-M 'P 1'
_symmetry_Int_Tables_number 1
loop_
_symmetry_equiv_pos_as_xyz
'x,y,z'
loop_
_atom_site_label
_atom_site_fract_x
_atom_site_fract_y
_atom_site_fract_z
Ca1 0.000 0.000 0.000
Tc1 0.500 0.500 0.500
Hg1 0.000 0.500 0.000
Hg2 0.500 0.000 0.000
Ru1 0.000 0.000 0.500
```


DOS(E_F) across the listed records, respectively: 0.508; 0.917; 0.204; 0.692; 0.789; 1.747; 1.072; 0.616; 0.723; 0.656; 0.939; 0.875 states/eV/atom.